Record 1
Below is YWAu after structural relaxation, with properties calculated at the GGA-PBE level.

Properties
The energy relative to the lowest polymorph listed for this composition comes out at 0 meV per atom. The energy of formation from the pure elements is 205 meV/atom. The calculated volume comes out at 19.86 Å³ per atom.

Cell lengths 2.985, 2.985, 13.370 Å; angles 90.00, 90.00, 90.00 degrees
Space group I4mm (No. 107)
Unique sites:
Y 0.000 0.000 0.000 [2 per cell]
W 0.000 0.000 0.674 [2 per cell]
Au 0.000 0.000 0.320 [2 per cell]


Record 2
Below is Y3WAu after structural relaxation, with properties calculated at the GGA-PBE level.

Properties
The energy of formation from the pure elements is 844 meV/atom. The calculated volume comes out at 31.93 Å³ per atom.

Cell lengths 5.425, 5.425, 5.425 Å; angles 90.00, 90.00, 90.00 degrees
Space group Pm-3m (No. 221)
Unique sites:
Y 0.000 0.000 0.500 [3 per cell]
W 0.500 0.500 0.500 [1 per cell]
Au 0.000 0.000 0.000 [1 per cell]


Record 3
Below is YWAu after structural relaxation, with properties calculated at the GGA-PBE level.

Properties
The energy relative to the lowest polymorph listed for this composition comes out at 264 meV per atom. The energy of formation from the pure elements is 469 meV/atom. The calculated volume comes out at 20.45 Å³ per atom.

Cell lengths 3.1358, 3.1358, 7.2053 Å; angles 90.00, 90.00, 120.00 degrees
Space group P3m1 (No. 156)
Unique sites:
Y 0.0000 0.0000 0.0000 [1 per cell]
W 0.3333 0.6667 0.6606 [1 per cell]
Au 0.6667 0.3333 0.3553 [1 per cell]


Record 4
Below is YWAu after structural relaxation, with properties calculated at the GGA-PBE level.

Properties
The energy relative to the lowest polymorph listed for this composition comes out at 111 meV per atom. The energy of formation from the pure elements is 315 meV/atom. The calculated volume comes out at 20.66 Å³ per atom.

Cell lengths 4.7751, 4.7751, 3.1381 Å; angles 90.00, 90.00, 120.00 degrees
Space group P-6m2 (No. 187)
Unique sites:
Y 0.0000 0.0000 0.0000 [1 per cell]
W 0.3333 0.6667 0.5000 [1 per cell]
Au 0.6667 0.3333 0.5000 [1 per cell]


Record 5
Below is Zn2WAu after structural relaxation, with properties calculated at the GGA-PBE level.

Properties
The energy relative to the lowest polymorph listed for this composition comes out at 162 meV per atom. The energy of formation from the pure elements is 239 meV/atom. The calculated volume comes out at 15.53 Å³ per atom.

Cell lengths 4.072, 4.072, 3.747 Å; angles 90.00, 90.00, 90.00 degrees
Space group P4/mmm (No. 123)
Unique sites:
Zn 0.000 0.500 0.000 [2 per cell]
W 0.000 0.000 0.500 [1 per cell]
Au 0.500 0.500 0.500 [1 per cell]


Record 6
Below is Zn2WAu after structural relaxation, with properties calculated at the GGA-PBE level.

Properties
The energy relative to the lowest polymorph listed for this composition comes out at 139 meV per atom. The energy of formation from the pure elements is 217 meV/atom. The calculated volume comes out at 16.06 Å³ per atom.

Cell lengths 2.8352, 2.8352, 27.6842 Å; angles 90.00, 90.00, 120.00 degrees
Space group R3m (No. 160, hexagonal axes)
Unique sites:
Zn 0.0000 0.0000 0.0000 [3 per cell]
Zn 0.0000 0.0000 0.2503 [3 per cell]
W 0.0000 0.0000 0.5029 [3 per cell]
Au 0.0000 0.0000 0.7495 [3 per cell]


Record 7
Below is ZnW2Au after structural relaxation, with properties calculated at the GGA-PBE level.

Properties
The energy of formation from the pure elements is 333 meV/atom. The calculated volume comes out at 16.15 Å³ per atom.

Cell lengths 9.690, 2.964, 4.587 Å; angles 90.00, 101.31, 90.00 degrees
Space group C2/m (No. 12)
Unique sites:
Zn 0.000 0.000 0.000 [2 per cell]
W 0.248 0.000 0.751 [4 per cell]
Au 0.000 0.500 0.500 [2 per cell]


Record 8
Below is ZnW2Au after structural relaxation, with properties calculated at the GGA-PBE level.

Properties
The energy of formation from the pure elements is 555 meV/atom. The calculated volume comes out at 16.15 Å³ per atom.

Cell lengths 3.410, 3.410, 5.556 Å; angles 90.00, 90.00, 90.00 degrees
Space group P4/mmm (No. 123)
Unique sites:
Zn 0.000 0.000 0.000 [1 per cell]
W 0.500 0.500 0.222 [2 per cell]
Au 0.000 0.000 0.500 [1 per cell]


Which value of energy of formation from the pure elements does entry 3 give? 469 meV/atom


What did the first record say?
Below is YWAu after structural relaxation, with properties calculated at the GGA-PBE level.

Properties
The energy relative to the lowest polymorph listed for this composition comes out at 0 meV per atom. The energy of formation from the pure elements is 205 meV/atom. The calculated volume comes out at 19.86 Å³ per atom.

Cell lengths 2.985, 2.985, 13.370 Å; angles 90.00, 90.00, 90.00 degrees
Space group I4mm (No. 107)
Unique sites:
Y 0.000 0.000 0.000 [2 per cell]
W 0.000 0.000 0.674 [2 per cell]
Au 0.000 0.000 0.320 [2 per cell]